[1]
Below is a relaxed structure of LiGePBr, with properties calculated at the PBE level.

Structure (POSCAR):
```
LiGePBr
1.0
3.5621 0.0000 0.0000
0.0000 3.5621 0.0000
0.0000 0.0000 6.4617
Ge Li Br P
1 1 1 1
Cartesian
1.7810 1.7810 6.3130 Ge
0.0000 0.0000 2.7722 Li
1.7810 1.7810 3.5062 Br
0.0000 0.0000 0.1800 P
```

Calculated values
The value obtained for the total energy is -3.91 eV/atom. Its space-group type is P4mm. For the density, the calculation gives 3.86 Mg/m³.

[2]
Below is a relaxed structure of In2Ga15Sn2, with properties calculated at the PBE level.

Structure (POSCAR):
```
In2Ga15Sn2
1.0
7.4433 -0.0679 -0.0605
0.8983 7.3892 -0.0605
0.8983 0.7885 7.3472
Sn Ga In
2 15 2
Cartesian
8.1868 7.1854 6.4026 Sn
1.0532 0.9243 0.8236 Sn
2.8679 5.1451 -0.0605 Ga
5.4203 4.7573 1.1076 Ga
5.4203 1.6466 4.5986 Ga
3.8197 3.3525 6.1187 Ga
2.8679 0.5308 5.1180 Ga
5.4737 0.1898 2.1687 Ga
3.8197 6.4632 2.6276 Ga
0.4492 3.6946 -0.0302 Ga
0.4492 0.3942 3.6736 Ga
0.8983 2.7748 5.1180 Ga
6.9041 2.9489 2.6276 Ga
0.8983 5.4028 2.1687 Ga
2.3358 5.1608 4.5986 Ga
5.4737 2.1762 -0.0605 Ga
3.7216 -0.0339 -0.0302 Ga
5.9566 5.2280 4.6585 In
3.2833 2.8817 2.5678 In
```

Calculated values
The value obtained for the total energy is -3.05 eV/atom. Its space-group type is R-3m. For the density, the calculation gives 6.20 Mg/m³.

[3]
Below is a relaxed structure of FeRu2Au, with properties calculated at the PBE level.

Structure (POSCAR):
```
FeRu2Au
1.0
-0.0764 0.9221 -2.5656
-0.9119 -3.3786 -1.1871
-5.5807 1.2856 0.6282
Au Ru Fe
1 2 1
Cartesian
-1.8893 -0.9069 -1.7193 Au
-2.9761 0.6856 0.3350 Ru
-5.3950 1.2428 0.6073 Ru
-4.6797 -0.2641 -1.4052 Fe
```

Calculated values
The value obtained for the total energy is -7.25 eV/atom. Its space-group type is Pmmm. For the density, the calculation gives 13.01 Mg/m³.

[4]
Below is a relaxed structure of Y8Cu2Os, with properties calculated at the PBE level.

Structure (POSCAR):
```
Y8Cu2Os
1.0
5.8953 -0.0166 -1.0405
-2.0412 6.8096 -3.0477
-0.1594 -0.2980 7.7273
Cu Y Os
2 8 1
Cartesian
2.1569 1.9279 3.9453 Cu
1.4300 4.6736 -0.2171 Cu
5.2720 1.1429 4.4994 Y
0.1860 6.0332 1.9731 Y
4.1600 5.3432 -1.8682 Y
0.6565 4.2561 4.6671 Y
0.2378 2.3421 1.5034 Y
3.3327 4.1922 2.1833 Y
2.7320 2.2694 -0.9601 Y
3.2039 0.4871 1.7418 Y
0.9242 0.0114 -0.1539 Os
```

Calculated values
The value obtained for the total energy is -6.49 eV/atom. Its space-group type is Cm. For the density, the calculation gives 5.64 Mg/m³.

[5]
Below is a relaxed structure of Ta3BeCu, with properties calculated at the PBE level.

Structure (POSCAR):
```
Ta3BeCu
1.0
4.3661 0.0000 0.0000
0.0000 4.3661 0.0000
0.0000 0.0000 4.3661
Ta Cu Be
3 1 1
Cartesian
0.0000 2.1831 0.0000 Ta
2.1831 0.0000 0.0000 Ta
0.0000 0.0000 2.1831 Ta
2.1831 2.1831 2.1831 Cu
0.0000 0.0000 0.0000 Be
```

Calculated values
The value obtained for the total energy is -7.99 eV/atom. Its space-group type is Pm-3m. For the density, the calculation gives 12.28 Mg/m³.

[6]
Below is a relaxed structure of Sr3Sb2Rh2, with properties calculated at the PBE level.

Structure (POSCAR):
```
Sr3Sb2Rh2
1.0
6.1059 0.0000 0.0000
0.0000 8.7479 0.0000
0.0000 0.0000 14.2173
Rh Sb Sr
8 8 12
Cartesian
3.8095 0.2431 8.3234 Rh
2.2964 4.6170 13.0026 Rh
3.8095 0.2431 13.0026 Rh
3.8095 4.1309 5.8939 Rh
2.2964 8.5048 5.8939 Rh
3.8095 4.1309 1.2147 Rh
2.2964 4.6170 8.3234 Rh
2.2964 8.5048 1.2147 Rh
2.3555 2.1870 0.0000 Sb
0.9618 5.2457 10.6630 Sb
5.1441 0.8717 10.6630 Sb
3.7505 6.5609 0.0000 Sb
2.3555 2.1870 7.1086 Sb
5.1441 3.5022 3.5543 Sb
3.7505 6.5609 7.1086 Sb
0.9618 7.8762 3.5543 Sb
5.2232 0.9235 5.7024 Sr
5.2232 3.4505 8.5149 Sr
3.9098 6.5456 3.5543 Sr
5.2232 3.4505 12.8110 Sr
0.8828 7.8244 12.8110 Sr
2.1961 2.1716 3.5543 Sr
2.1961 2.2023 10.6630 Sr
0.8828 5.2974 5.7024 Sr
5.2232 0.9235 1.4063 Sr
0.8828 5.2974 1.4063 Sr
0.8828 7.8244 8.5149 Sr
3.9098 6.5763 10.6630 Sr
```

Calculated values
The value obtained for the total energy is -4.81 eV/atom. Its space-group type is Pbcm. For the density, the calculation gives 6.23 Mg/m³.

[7]
Below is a relaxed structure of AcTmNi4, with properties calculated at the PBE level.

Structure (POSCAR):
```
AcTmNi4
1.0
-4.0529 2.1074 -2.3843
2.4533 -3.9970 -2.1348
-5.3136 -5.4926 4.1774
Ni Tm Ac
8 2 2
Cartesian
-4.4129 -0.3793 -1.2171 Ni
0.0000 0.0000 0.0000 Ni
-2.5003 -7.0028 0.8753 Ni
-4.5492 -5.9374 -0.3300 Ni
-2.3640 -1.4447 -0.0117 Ni
-3.1727 -2.4000 -2.2964 Ni
-3.7405 -4.9822 1.9546 Ni
-2.6568 -2.7463 2.0887 Ni
-4.8011 -2.9425 -0.0080 Tm
-2.1122 -4.4396 -0.3338 Tm
-0.1618 -2.4236 -1.8671 Ac
-6.7514 -4.9585 1.5253 Ac
```

Calculated values
The value obtained for the total energy is -5.58 eV/atom. Its space-group type is P-3m1. For the density, the calculation gives 10.46 Mg/m³.

[8]
Below is a relaxed structure of Li14CdSi, with properties calculated at the PBE level.

Structure (POSCAR):
```
Li14CdSi
1.0
6.6806 -0.0142 0.0000
0.0142 6.6806 0.0000
0.0000 0.0000 6.4884
Li Cd Si
14 1 1
Cartesian
0.7360 0.7329 4.7106 Li
5.8509 2.4928 0.0000 Li
2.5105 2.4999 0.0000 Li
4.2782 0.7248 1.7776 Li
4.2851 4.2669 4.7107 Li
0.7360 0.7329 1.7778 Li
0.7429 4.2751 4.7108 Li
4.2851 4.2669 1.7777 Li
2.5178 5.8402 3.2442 Li
5.8580 5.8331 0.0000 Li
0.7429 4.2751 1.7776 Li
2.5176 5.8403 0.0000 Li
4.2782 0.7248 4.7108 Li
5.8509 2.4929 3.2442 Li
2.5106 2.4999 3.2442 Cd
5.8579 5.8331 3.2442 Si
```

Calculated values
The value obtained for the total energy is -2.15 eV/atom. Its space-group type is P4/mmm. For the density, the calculation gives 1.36 Mg/m³.